# 1
This record from the Alexandria database describes ErTm2PbC after structural relaxation. The functional is PBE-GGA.

Results
Crystal system   tetragonal
Theoretical density   10.57 Mg/m³
Formation energy from the elements   -564.5 meV/atom
Space-group type   P4/mmm

Cell: 4.8654 4.8367 4.8367 Å, 90.00 90.00 90.00°
Atoms (fractional coordinates):
Er (0.5000, 0.0000, 0.0000)
Tm (0.0000, 0.0000, 0.5000)
Tm (0.0000, 0.5000, 0.0000)
Pb (0.5000, 0.5000, 0.5000)
C (0.0000, 0.0000, 0.0000)

=====

# 2
This record from the Alexandria database describes LiAlCrH6 after structural relaxation. The functional is PBE-GGA.

Results
Crystal system   hexagonal
Raw total energy   -4.00 eV/atom
Theoretical density   2.07 Mg/m³
Space-group type   P6_3/mmc

Cell: 4.3852 4.3852 8.8486 Å, 90.00 90.00 120.00°
Atoms (fractional coordinates):
Li (0.0000, 0.0000, 0.0000)
Li (0.0000, 0.0000, 0.5000)
Al (0.3333, 0.6667, 0.2500)
Al (0.6667, 0.3333, 0.7500)
Cr (0.6667, 0.3333, 0.2500)
Cr (0.3333, 0.6667, 0.7500)
H (0.5142, 0.4879, 0.1156)
H (0.9738, 0.4858, 0.1156)
H (0.4858, 0.9738, 0.6156)
H (0.0262, 0.5142, 0.8844)
H (0.5121, 0.4858, 0.3844)
H (0.9738, 0.4879, 0.3844)
H (0.4879, 0.9738, 0.8844)
H (0.5142, 0.0262, 0.3844)
H (0.0262, 0.5121, 0.6156)
H (0.5121, 0.0262, 0.1156)
H (0.4879, 0.5142, 0.6156)
H (0.4858, 0.5121, 0.8844)

=====

# 3
This record from the Alexandria database describes Ca2FeAs after structural relaxation. The functional is PBE-GGA.

Results
Crystal system   cubic
Theoretical density   4.44 Mg/m³
Formation energy from the elements   117.5 meV/atom
Space-group type   F-43m

Cell: 4.8145 4.8145 4.8145 Å, 60.00 60.00 60.00°
Atoms (fractional coordinates):
As (0.5000, 0.5000, 0.5000)
Ca (0.0000, 0.0000, 0.0000)
Ca (0.2500, 0.2500, 0.2500)
Fe (0.7500, 0.7500, 0.7500)

=====

# 4
This record from the Alexandria database describes LiAl3Ga after structural relaxation. The functional is PBE-GGA.

Results
Crystal system   cubic
Polymorph energy (0 for the lowest one)   536 meV/atom
Theoretical density   2.15 Mg/m³
Formation energy from the elements   507.7 meV/atom
Space-group type   Pm-3m

Cell: 4.9573 4.9573 4.9573 Å, 90.00 90.00 90.00°
Atoms (fractional coordinates):
Al (0.0000, 0.5000, 0.0000)
Al (0.0000, 0.0000, 0.5000)
Al (0.5000, 0.0000, 0.0000)
Ga (0.0000, 0.0000, 0.0000)
Li (0.5000, 0.5000, 0.5000)

=====

# 5
This record from the Alexandria database describes Ba2SrBr after structural relaxation. The functional is PBE-GGA.

Results
Crystal system   orthorhombic
Polymorph energy (0 for the lowest one)   40 meV/atom
Theoretical density   3.67 Mg/m³
ΔE_f (raw)   -0.711 eV per atom
Space-group type   Cmm2

Cell: 4.2809 4.2809 12.1394 Å, 90.00 90.00 115.98°
Atoms (fractional coordinates):
Sr (0.5000, 0.5000, 0.7028)
Ba (0.0000, 0.0000, 0.9925)
Ba (0.5000, 0.5000, 0.2945)
Br (0.0000, 0.0000, 0.5103)

=====

# 6
This record from the Alexandria database describes CsBeGe2Au after structural relaxation. The functional is PBE-GGA.

Results
Crystal system   tetragonal
Theoretical density   5.39 Mg/m³
Formation energy from the elements   534.5 meV/atom
Space-group type   P4/mmm

Cell: 4.5277 7.2790 4.5277 Å, 90.00 90.00 90.00°
Atoms (fractional coordinates):
Cs (0.0000, 0.5000, 0.0000)
Be (0.0000, 0.0000, 0.0000)
Ge (0.0000, 0.0000, 0.5000)
Ge (0.5000, 0.0000, 0.0000)
Au (0.5000, 0.5000, 0.5000)